Computed, not measured: crystalline YMn2F at its relaxed geometry at the PBE with a Hubbard U level of DFT.

Cell: 5.0180 5.0180 5.0180 Å, 60.00 60.00 60.00°
Fractional coordinates of all 4 atoms:
Y 0.0000 0.0000 0.0000
Mn 0.2500 0.2500 0.2500
Mn 0.7500 0.7500 0.7500
F 0.5000 0.5000 0.5000

Output
uncorrected energy = -22.409 eV per cell
calculated volume = 89.3 Å³ per cell